[1]
Entry from the Alexandria database: a relaxed Y2Ga4Ni3 crystal (PBE).

Properties
As for the formation energy from the elements: -0.5132 eV/atom. Its space-group type is No. 69.

The structure in POSCAR format:
```
Y2Ga4Ni3
1.0
0.0000 4.6316 6.2677
2.6062 0.0000 6.2677
2.6062 4.6316 0.0000
Y Ga Ni
2 4 3
direct
0.1288 0.1288 0.8712 Y
0.8712 0.8712 0.1288 Y
0.1689 0.5126 0.4874 Ga
0.4874 0.8311 0.1689 Ga
0.5126 0.1689 0.8311 Ga
0.8311 0.4874 0.5126 Ga
0.0000 0.0000 0.5000 Ni
0.5000 0.5000 0.0000 Ni
0.5000 0.5000 0.5000 Ni
```

***

[2]
Entry from the Alexandria database: a relaxed NaMg3Cr crystal (PBE).

Properties
As for the formation energy from the elements: 1.4757 eV/atom. The energy above the most stable polymorph in this dataset comes out at 4.592 eV/f.u. Its space-group type is No. 221.

The structure in POSCAR format:
```
NaMg3Cr
1.0
5.0038 0.0000 0.0000
0.0000 5.0038 0.0000
0.0000 0.0000 5.0038
Na Mg Cr
1 3 1
direct
0.0000 0.0000 0.0000 Na
0.0000 0.0000 0.5000 Mg
0.0000 0.5000 0.0000 Mg
0.5000 0.0000 0.0000 Mg
0.5000 0.5000 0.5000 Cr
```